Record 1
Material: PmPr3Tm3Se8
Method: DFT, GGA-PBE
State: relaxed

Summary:
D(E_F) ... 0.442 states/eV/atom
M_tot ... 0.00 μB per atom
Final energy ... -5.86 eV per atom

Cell lengths 8.3138, 8.3138, 8.3138 Å; angles 59.24, 59.24, 59.24 degrees
Positions (direct):
Pm (0.0000, 0.0000, 0.0000)
Pr (0.0000, 0.0000, 0.5000)
Pr (0.0000, 0.5000, 0.0000)
Pr (0.5000, 0.0000, 0.0000)
Tm (0.0000, 0.5000, 0.5000)
Tm (0.5000, 0.0000, 0.5000)
Tm (0.5000, 0.5000, 0.0000)
Se (0.2552, 0.2552, 0.7303)
Se (0.2552, 0.7303, 0.2552)
Se (0.2571, 0.2571, 0.2571)
Se (0.2697, 0.7448, 0.7448)
Se (0.7303, 0.2552, 0.2552)
Se (0.7429, 0.7429, 0.7429)
Se (0.7448, 0.2697, 0.7448)
Se (0.7448, 0.7448, 0.2697)

Record 2
Material: Tl2InSe2
Method: DFT, GGA-PBE
State: relaxed

Summary:
D(E_F) ... 0.515 states/eV/atom
M_tot ... 0.00 μB per atom
Final energy ... -3.02 eV per atom

Cell lengths 8.5549, 8.5549, 3.9128 Å; angles 90.00, 90.00, 90.00 degrees
Positions (direct):
Tl (0.1339, 0.3661, 0.0000)
Tl (0.3661, 0.8661, 0.0000)
Tl (0.6339, 0.1339, 0.0000)
Tl (0.8661, 0.6339, 0.0000)
In (0.0000, 0.0000, 0.0000)
In (0.5000, 0.5000, 0.0000)
Se (0.1710, 0.6710, 0.5000)
Se (0.3290, 0.1710, 0.5000)
Se (0.6710, 0.8290, 0.5000)
Se (0.8290, 0.3290, 0.5000)

Record 3
Material: Ac6Ge2Sb3Se
Method: DFT, GGA-PBE
State: relaxed

Summary:
D(E_F) ... 0.576 states/eV/atom
M_tot ... 0.00 μB per atom
Final energy ... -5.29 eV per atom

Cell lengths 10.4902, 10.4902, 9.4021 Å; angles 103.01, 103.01, 25.71 degrees
Positions (direct):
Ac (0.0044, 0.0044, 0.2487)
Ac (0.3302, 0.3302, 0.4236)
Ac (0.3346, 0.3346, 0.9078)
Ac (0.6654, 0.6654, 0.0922)
Ac (0.6698, 0.6698, 0.5764)
Ac (0.9956, 0.9956, 0.7513)
Ge (0.1652, 0.1652, 0.3301)
Ge (0.8348, 0.8348, 0.6699)
Sb (0.1642, 0.1642, 0.8341)
Sb (0.5000, 0.5000, 0.5000)
Sb (0.8358, 0.8358, 0.1659)
Se (0.5000, 0.5000, 0.0000)

Record 4
Material: La2AlSiSe
Method: DFT, GGA-PBE
State: relaxed

Summary:
D(E_F) ... 0.853 states/eV/atom
M_tot ... 0.00 μB per atom
Final energy ... -4.80 eV per atom

Cell lengths 5.7802, 5.7802, 4.4090 Å; angles 90.00, 90.00, 90.00 degrees
Positions (direct):
La (0.0000, 0.5000, 0.0000)
La (0.5000, 0.0000, 0.0000)
Al (0.0000, 0.0000, 0.0000)
Si (0.0000, 0.0000, 0.5000)
Se (0.5000, 0.5000, 0.5000)